Crystalline CuNi3Rh4 at its relaxed geometry. Source: the Alexandria database, functional PBE.

Calculated values
Calculated total energy ... -6.052 eV per atom

Unit cell a=10.6694 b=10.6694 c=4.0843 alpha=99.89 beta=99.89 gamma=14.10
Fractional positions:
Cu 0.0000 0.0000 0.0000
Ni 0.2855 0.2855 0.3023
Ni 0.5000 0.5000 0.5000
Ni 0.7145 0.7145 0.6977
Rh 0.1001 0.1001 0.5921
Rh 0.1677 0.1677 0.1532
Rh 0.8323 0.8323 0.8468
Rh 0.8999 0.8999 0.4079


Crystalline CaReS2Cl at its relaxed geometry. Source: the Alexandria database, functional PBE.

Calculated values
Offset from the most stable computed form ... 1.203 eV/atom
Formation energy without anion corrections ... 687 meV/atom
Calculated total energy ... -4.223 eV per atom

Unit cell a=5.2832 b=5.2832 c=5.0002 alpha=90.00 beta=90.00 gamma=90.00
Fractional positions:
Ca 0.0000 0.0000 0.0000
Re 0.5000 0.5000 0.5000
S 0.0000 0.5000 0.0000
S 0.5000 0.0000 0.0000
Cl 0.0000 0.0000 0.5000


Crystalline KEuBi4 at its relaxed geometry. Source: the Alexandria database, functional PBE.

Calculated values
Calculated total energy ... -4.785 eV per atom

Unit cell a=6.7309 b=6.7309 c=6.7309 alpha=60.00 beta=60.00 gamma=60.00
Fractional positions:
K 0.0000 0.0000 0.0000
Eu 0.7500 0.7500 0.7500
Bi 0.3750 0.3750 0.3750
Bi 0.3750 0.3750 0.8751
Bi 0.3750 0.8751 0.3750
Bi 0.8751 0.3750 0.3750


Crystalline Pm8SiS3Br4 at its relaxed geometry. Source: the Alexandria database, functional PBE.

Calculated values
Formation energy without anion corrections ... -1482 meV/atom
Calculated total energy ... -5.388 eV per atom

Unit cell a=8.6769 b=8.6769 c=8.6769 alpha=56.43 beta=56.43 gamma=56.43
Fractional positions:
Pm 0.2268 0.7369 0.7369
Pm 0.2315 0.2315 0.2315
Pm 0.2631 0.2631 0.7732
Pm 0.2631 0.7732 0.2631
Pm 0.7369 0.2268 0.7369
Pm 0.7369 0.7369 0.2268
Pm 0.7685 0.7685 0.7685
Pm 0.7732 0.2631 0.2631
Si 0.5000 0.5000 0.5000
S 0.0000 0.0000 0.5000
S 0.0000 0.5000 0.0000
S 0.5000 0.0000 0.0000
Br 0.0000 0.0000 0.0000
Br 0.0000 0.5000 0.5000
Br 0.5000 0.0000 0.5000
Br 0.5000 0.5000 0.0000